# Nd3In2PdPt2Pb GGA-PBE optimized geometry
data_Nd3In2PdPt2Pb
_space_group_name_H-M_alt 'P 1'
_space_group_IT_number 1
_space_group_name_Hall 'P 1'
_cell_length_a 4.011
_cell_length_b 7.840
_cell_length_c 7.840
_cell_angle_alpha 119.57
_cell_angle_beta 90.00
_cell_angle_gamma 90.00
loop_
_atom_site_label
_atom_site_type_symbol
_atom_site_fract_x
_atom_site_fract_y
_atom_site_fract_z
In1 In 0.000 0.999 0.745
In2 In 0.000 0.745 0.999
Nd1 Nd 0.500 0.998 0.414
Nd2 Nd 0.500 0.588 0.588
Nd3 Nd 0.500 0.414 0.998
Pb1 Pb 0.000 0.252 0.252
Pd1 Pd 0.500 0.990 0.990
Pt1 Pt 0.000 0.677 0.336
Pt2 Pt 0.000 0.336 0.677
# VASP energy in eV/atom: -5.420

***

# Nd2InPt4Pb GGA-PBE optimized geometry
data_Nd2InPt4Pb
_space_group_name_H-M_alt 'P 1'
_space_group_IT_number 1
_space_group_name_Hall 'P 1'
_cell_length_a 4.676
_cell_length_b 4.676
_cell_length_c 9.285
_cell_angle_alpha 90.00
_cell_angle_beta 90.00
_cell_angle_gamma 120.00
loop_
_atom_site_label
_atom_site_type_symbol
_atom_site_fract_x
_atom_site_fract_y
_atom_site_fract_z
In1 In 0.000 0.000 0.000
Nd1 Nd 0.667 0.333 0.249
Nd2 Nd 0.333 0.667 0.751
Pb1 Pb 0.000 0.000 0.500
Pt1 Pt 0.333 0.667 0.086
Pt2 Pt 0.333 0.667 0.401
Pt3 Pt 0.667 0.333 0.599
Pt4 Pt 0.667 0.333 0.914
# VASP energy in eV/atom: -5.843